Entry 1
This record from the Alexandria database describes an optimized crystal structure of ZnGa2Ni4. The functional is GGA-PBE.

## Properties
- Size of the total moment: 0.000 μB/atom
- Space group: I4/mmm, No. 139

```
ZnGa2Ni4
1.0
-2.1358 2.1358 6.0254
2.1358 -2.1358 6.0254
2.1358 2.1358 -6.0254
Zn Ga Ni
1 2 4
Cartesian
0.0000 0.0000 0.0000 Zn
0.0000 0.0000 4.6166 Ga
0.0000 0.0000 7.4341 Ga
2.1358 0.0000 0.0000 Ni
0.0000 0.0000 2.3207 Ni
0.0000 2.1358 0.0000 Ni
0.0000 0.0000 9.7300 Ni
```

Entry 2
This record from the Alexandria database describes an optimized crystal structure of ZnGa2Ni4. The functional is GGA-PBE.

## Properties
- Size of the total moment: 0.000 μB/atom
- Space group: I4/mmm, No. 139

```
ZnGa2Ni4
1.0
-1.7374 1.7374 8.3204
1.7374 -1.7374 8.3204
1.7374 1.7374 -8.3204
Zn Ga Ni
1 2 4
Cartesian
0.0000 0.0000 0.0000 Zn
0.0000 0.0000 6.0489 Ga
0.0000 0.0000 10.5919 Ga
0.0000 0.0000 2.3490 Ni
1.7374 0.0000 4.1602 Ni
0.0000 1.7374 4.1602 Ni
0.0000 0.0000 14.2918 Ni
```

Tell me which of them is the least stable. Sure, it is entry 1.

Entry 1
This record from the Alexandria database describes an optimized crystal structure of ZnGa2Ni8. The functional is GGA-PBE.

## Properties
- Size of the total moment: 0.103 μB/atom
- Space group: Immm, No. 71

```
ZnGa2Ni8
1.0
-1.8052 3.4554 5.3570
1.8052 -3.4554 5.3570
1.8052 3.4554 -5.3570
Zn Ga Ni
1 2 8
Cartesian
0.0000 0.0000 0.0000 Zn
0.0000 0.0000 3.5797 Ga
0.0000 0.0000 7.1343 Ga
1.8052 -1.6951 3.5866 Ni
1.8052 0.0000 1.7680 Ni
1.8052 1.7796 0.0000 Ni
0.0000 1.7603 1.7704 Ni
1.8052 1.6951 3.5866 Ni
0.0000 1.6758 5.3570 Ni
0.0000 3.4554 3.5890 Ni
0.0000 5.1504 1.7704 Ni
```

Entry 2
This record from the Alexandria database describes an optimized crystal structure of ZnGa2Ni8. The functional is GGA-PBE.

## Properties
- Size of the total moment: 0.000 μB/atom
- Space group: C2/m, No. 12

```
ZnGa2Ni8
1.0
3.2055 -5.6163 0.0000
3.2055 5.6163 0.0000
-2.0056 0.0000 3.7314
Zn Ga Ni
1 2 8
Cartesian
0.0000 0.0000 0.0000 Zn
2.2027 2.1827 1.8657 Ga
2.2027 -2.1827 1.8657 Ga
0.0758 1.2419 2.3834 Ni
3.2055 3.2367 0.0000 Ni
0.0758 -1.2419 2.3834 Ni
2.2568 0.0000 0.7105 Ni
2.1487 0.0000 3.0209 Ni
4.3297 1.2419 1.3480 Ni
3.2055 -3.2367 0.0000 Ni
4.3297 -1.2419 1.3480 Ni
```

Tell me which of them is the least stable. Sure, it is entry 2.

Entry 1
This record from the Alexandria database describes an optimized crystal structure of ZnGaNi5. The functional is GGA-PBE.

## Properties
- Size of the total moment: 0.205 μB/atom
- Space group: P4/mmm, No. 123

```
ZnGaNi5
1.0
3.5653 0.0000 0.0000
0.0000 3.5653 0.0000
0.0000 0.0000 6.9498
Zn Ga Ni
1 1 5
Cartesian
0.0000 0.0000 0.0000 Zn
1.7826 1.7826 3.4749 Ga
0.0000 0.0000 3.4749 Ni
0.0000 1.7826 1.7148 Ni
0.0000 1.7826 5.2350 Ni
1.7826 0.0000 1.7148 Ni
1.7826 0.0000 5.2350 Ni
```

Entry 2
This record from the Alexandria database describes an optimized crystal structure of ZnGaNi5. The functional is GGA-PBE.

## Properties
- Size of the total moment: 0.079 μB/atom
- Space group: C2/c, No. 15

```
ZnGaNi5
1.0
4.1548 -2.3192 0.0000
4.1548 2.3192 0.0000
-1.4037 0.0000 8.8940
Zn Ga Ni
2 2 10
Cartesian
3.1020 1.4172 6.6705 Zn
3.8039 -1.4172 2.2235 Zn
4.1548 0.0000 0.0000 Ga
3.4529 0.0000 4.4470 Ga
0.5386 0.1978 4.8682 Ni
1.2404 -0.1978 0.4212 Ni
1.0444 0.2402 7.2495 Ni
3.8039 0.9454 2.2235 Ni
1.7462 -0.2402 2.8025 Ni
5.1597 0.2402 6.0915 Ni
3.1020 -0.9454 6.6705 Ni
5.8615 -0.2402 1.6445 Ni
5.6655 0.1978 8.4728 Ni
6.3673 -0.1978 4.0258 Ni
```

Tell me which of them is the least stable. Sure, it is entry 2.

Entry 1
This record from the Alexandria database describes an optimized crystal structure of ZnGa4Ni. The functional is GGA-PBE.

## Properties
- Size of the total moment: 0.000 μB/atom
- Space group: C2/c, No. 15

```
ZnGa4Ni
1.0
4.4237 -4.3044 0.0000
4.4237 4.3044 0.0000
-0.3221 0.0000 5.0674
Zn Ga Ni
2 8 2
Cartesian
4.1821 4.2646 3.8006 Zn
4.3432 -4.2646 1.2669 Zn
3.3811 1.9973 2.4817 Ga
2.0943 0.8342 4.9478 Ga
5.3052 1.9973 0.0520 Ga
2.2554 -0.8342 2.4141 Ga
6.2699 0.8342 2.6533 Ga
3.2201 -1.9973 5.0154 Ga
6.4309 -0.8342 0.1196 Ga
5.1441 -1.9973 2.5857 Ga
4.3432 0.0154 1.2669 Ni
4.1821 -0.0154 3.8006 Ni
```

Entry 2
This record from the Alexandria database describes an optimized crystal structure of ZnGa4Ni. The functional is GGA-PBE.

## Properties
- Size of the total moment: 0.000 μB/atom
- Space group: I4/mcm, No. 140

```
ZnGa4Ni
1.0
-3.1081 3.1081 4.9581
3.1081 -3.1081 4.9581
3.1081 3.1081 -4.9581
Zn Ga Ni
2 8 2
Cartesian
0.0000 0.0000 0.0000 Zn
0.0000 0.0000 4.9581 Zn
4.0633 0.9552 -1.3894 Ga
0.9552 2.1530 -1.3894 Ga
4.0633 0.9552 1.3894 Ga
0.9552 2.1530 1.3894 Ga
2.1530 0.9552 3.5687 Ga
-0.9552 2.1530 3.5687 Ga
2.1530 0.9552 6.3475 Ga
-0.9552 2.1530 6.3475 Ga
0.0000 0.0000 2.4791 Ni
0.0000 0.0000 7.4372 Ni
```

Tell me which of them is the least stable. Sure, it is entry 1.

Entry 1
This record from the Alexandria database describes an optimized crystal structure of Zr4GaNi. The functional is GGA-PBE.

## Properties
- Size of the total moment: 0.000 μB/atom
- Space group: P4/mcc, No. 124

```
Zr4GaNi
1.0
6.6659 0.0000 0.0000
0.0000 6.6659 0.0000
0.0000 0.0000 5.3009
Zr Ga Ni
8 2 2
Cartesian
1.0091 2.2256 0.0000 Zr
1.0091 4.4402 2.6505 Zr
2.2256 1.0091 2.6505 Zr
2.2256 5.6567 0.0000 Zr
4.4402 1.0091 0.0000 Zr
4.4402 5.6567 2.6505 Zr
5.6567 2.2256 2.6505 Zr
5.6567 4.4402 0.0000 Zr
3.3329 3.3329 1.3252 Ga
3.3329 3.3329 3.9757 Ga
0.0000 0.0000 1.3252 Ni
0.0000 0.0000 3.9757 Ni
```

Entry 2
This record from the Alexandria database describes an optimized crystal structure of Zr4GaNi. The functional is GGA-PBE.

## Properties
- Size of the total moment: 0.000 μB/atom
- Space group: I422, No. 97

```
Zr4GaNi
1.0
-3.3713 3.3713 2.5789
3.3713 -3.3713 2.5789
3.3713 3.3713 -2.5789
Zr Ga Ni
4 1 1
Cartesian
2.3080 -1.0633 1.2895 Zr
4.4345 1.0633 1.2895 Zr
1.0633 2.3080 1.2895 Zr
-1.0633 4.4345 1.2895 Zr
0.0000 0.0000 2.5789 Ga
0.0000 0.0000 0.0000 Ni
```

Tell me which of them is the least stable. Sure, it is entry 2.

Entry 1
This record from the Alexandria database describes an optimized crystal structure of Zr2Ga2Ni. The functional is GGA-PBE.

## Properties
- Size of the total moment: 0.000 μB/atom
- Space group: Ibam, No. 72

```
Zr2Ga2Ni
1.0
-2.9847 5.7151 2.7880
2.9847 -5.7151 2.7880
2.9847 5.7151 -2.7880
Zr Ga Ni
4 4 2
Cartesian
1.1940 1.4525 0.0000 Zr
1.1940 -1.4525 2.7880 Zr
1.7907 7.1676 0.0000 Zr
1.7907 4.2626 2.7880 Zr
4.3558 1.4531 0.0000 Ga
1.3711 4.2620 0.0000 Ga
1.6136 1.4531 2.7880 Ga
-1.3711 4.2620 2.7880 Ga
2.9847 0.0000 1.3940 Ni
0.0000 5.7151 1.3940 Ni
```

Entry 2
This record from the Alexandria database describes an optimized crystal structure of Zr2Ga2Ni. The functional is GGA-PBE.

## Properties
- Size of the total moment: 0.000 μB/atom
- Space group: P4/mbm, No. 127

```
Zr2Ga2Ni
1.0
6.4237 0.0000 0.0000
0.0000 6.4237 0.0000
0.0000 0.0000 4.2475
Zr Ga Ni
4 4 2
Cartesian
1.1014 2.1104 0.0000 Zr
2.1104 5.3223 0.0000 Zr
4.3133 1.1014 0.0000 Zr
5.3223 4.3133 0.0000 Zr
0.9024 4.1142 2.1238 Ga
2.3095 0.9024 2.1238 Ga
4.1142 5.5214 2.1238 Ga
5.5214 2.3095 2.1238 Ga
0.0000 0.0000 2.1238 Ni
3.2119 3.2119 2.1238 Ni
```

Tell me which of them is the least stable. Sure, it is entry 1.